Entry 1:
# PBE TaTiW, optimized geometry
# M_tot in μB per atom: 0.00
# Formation energy from the elements in meV/atom: -12
# Crystal system: monoclinic
data_TaTiW
_chemical_formula_sum 'Ta2 Ti2 W2'
_symmetry_space_group_name_H-M 'P 1 21/m 1'
_symmetry_Int_Tables_number 11
_symmetry_space_group_name_Hall '-P 2yb'
_cell_length_a 4.599
_cell_length_b 4.591
_cell_length_c 5.347
_cell_angle_alpha 90.00
_cell_angle_beta 115.33
_cell_angle_gamma 90.00
loop_
_atom_site_label
_atom_site_type_symbol
_atom_site_fract_x
_atom_site_fract_y
_atom_site_fract_z
Ta1 Ta 0.092 0.250 0.185
Ti1 Ti 0.410 0.250 0.819
W1 W 0.251 0.750 0.501

---

Entry 2:
# PBE Ta8TiW2, optimized geometry
# M_tot in μB per atom: 0.00
# Formation energy from the elements in meV/atom: -31
# Crystal system: monoclinic
data_Ta8TiW2
_chemical_formula_sum 'Ta16 Ti2 W4'
_symmetry_space_group_name_H-M 'C 1 2/m 1'
_symmetry_Int_Tables_number 12
_symmetry_space_group_name_Hall '-C 2y'
_cell_length_a 13.610
_cell_length_b 4.627
_cell_length_c 7.111
_cell_angle_alpha 90.00
_cell_angle_beta 119.49
_cell_angle_gamma 90.00
loop_
_atom_site_label
_atom_site_type_symbol
_atom_site_fract_x
_atom_site_fract_y
_atom_site_fract_z
Ta1 Ta 0.048 0.000 0.231
Ta2 Ta 0.095 0.500 0.958
Ta3 Ta 0.140 0.000 0.692
Ta4 Ta 0.182 0.500 0.421
Ti1 Ti 0.000 0.500 0.500
W1 W 0.227 0.000 0.139

---

Entry 3:
# PBE Ta3Ti2W2, optimized geometry
# M_tot in μB per atom: 0.00
# Formation energy from the elements in meV/atom: -10
# Crystal system: monoclinic
data_Ta3Ti2W2
_chemical_formula_sum 'Ta6 Ti4 W4'
_symmetry_space_group_name_H-M 'C 1 2/m 1'
_symmetry_Int_Tables_number 12
_symmetry_space_group_name_Hall '-C 2y'
_cell_length_a 10.254
_cell_length_b 3.244
_cell_length_c 7.324
_cell_angle_alpha 90.00
_cell_angle_beta 99.17
_cell_angle_gamma 90.00
loop_
_atom_site_label
_atom_site_type_symbol
_atom_site_fract_x
_atom_site_fract_y
_atom_site_fract_z
Ta1 Ta 0.000 0.000 0.000
Ta2 Ta 0.145 0.000 0.415
Ti1 Ti 0.080 0.500 0.710
W1 W 0.214 0.500 0.134

---

Entry 4:
# PBE Ta12TiW6, optimized geometry
# M_tot in μB per atom: 0.06
# Formation energy from the elements in meV/atom: 669
# Crystal system: trigonal
data_Ta12TiW6
_chemical_formula_sum 'Ta36 Ti3 W18'
_symmetry_space_group_name_H-M 'R -3 m'
_symmetry_Int_Tables_number 166
_symmetry_space_group_name_Hall '-R 3 2"'
_cell_length_a 12.0778
_cell_length_b 12.0778
_cell_length_c 8.9608
_cell_angle_alpha 90.00
_cell_angle_beta 90.00
_cell_angle_gamma 120.00
loop_
_atom_site_label
_atom_site_type_symbol
_atom_site_fract_x
_atom_site_fract_y
_atom_site_fract_z
Ta1 Ta 0.0000 0.3821 0.0000
Ta2 Ta 0.0846 0.1691 0.7884
Ti1 Ti 0.0000 0.0000 0.5000
W1 W 0.0724 0.5362 0.7415